(1)
Crystalline La6Tl2CuRu at its relaxed geometry, computed with PBE-GGA.

abc: 7.824 7.824 7.824
angles: 60.00 60.00 60.00
Fractional positions:
La 0.247 0.247 0.753
La 0.247 0.753 0.247
La 0.247 0.753 0.753
La 0.753 0.247 0.247
La 0.753 0.247 0.753
La 0.753 0.753 0.247
Tl 0.250 0.250 0.250
Tl 0.750 0.750 0.750
Cu 0.500 0.500 0.500
Ru 0.000 0.000 0.000

Properties
Mass density: 6898 kg/m³
Uncorrected energy: -4.92 eV per atom

(2)
Crystalline Tb2ZrMnS6 at its relaxed geometry, computed with PBE-GGA.

abc: 7.103 7.103 7.103
angles: 56.27 56.27 56.27
Fractional positions:
Tb 0.000 0.000 0.000
Tb 0.497 0.497 0.497
Zr 0.698 0.698 0.698
Mn 0.203 0.203 0.203
S 0.068 0.822 0.427
S 0.315 0.575 0.921
S 0.427 0.068 0.822
S 0.575 0.921 0.315
S 0.822 0.427 0.068
S 0.921 0.315 0.575

Properties
Mass density: 4708 kg/m³
Uncorrected energy: -6.74 eV per atom
Energy relative to the elements, uncorrected: -1506 kJ/mol of formula units

(3)
Crystalline SrLiEr2Se4 at its relaxed geometry, computed with PBE-GGA.

abc: 7.108 7.108 14.178
angles: 90.00 90.00 146.30
Fractional positions:
Sr 0.119 0.881 0.750
Sr 0.881 0.119 0.250
Li 0.151 0.849 0.250
Li 0.849 0.151 0.750
Er 0.372 0.628 0.558
Er 0.372 0.628 0.942
Er 0.628 0.372 0.058
Er 0.628 0.372 0.442
Se 0.000 0.000 0.000
Se 0.000 0.000 0.500
Se 0.269 0.731 0.116
Se 0.269 0.731 0.384
Se 0.447 0.553 0.750
Se 0.553 0.447 0.250
Se 0.731 0.269 0.616
Se 0.731 0.269 0.884

Properties
Mass density: 6225 kg/m³
Uncorrected energy: -5.09 eV per atom
Energy relative to the elements, uncorrected: -1360 kJ/mol of formula units

(4)
Crystalline Pr8Si3PBr4 at its relaxed geometry, computed with PBE-GGA.

abc: 8.940 8.940 8.940
angles: 56.99 56.99 56.99
Fractional positions:
Pr 0.237 0.237 0.237
Pr 0.238 0.734 0.734
Pr 0.266 0.266 0.762
Pr 0.266 0.762 0.266
Pr 0.734 0.238 0.734
Pr 0.734 0.734 0.238
Pr 0.762 0.266 0.266
Pr 0.763 0.763 0.763
Si 0.000 0.000 0.500
Si 0.000 0.500 0.000
Si 0.500 0.000 0.000
P 0.500 0.500 0.500
Br 0.000 0.000 0.000
Br 0.000 0.500 0.500
Br 0.500 0.000 0.500
Br 0.500 0.500 0.000

Properties
Mass density: 5518 kg/m³
Uncorrected energy: -5.36 eV per atom
Energy relative to the elements, uncorrected: -1842 kJ/mol of formula units

(5)
Crystalline CaFe2Cu at its relaxed geometry, computed with PBE-GGA.

abc: 4.471 4.471 4.471
angles: 120.29 120.29 89.49
Fractional positions:
Ca 0.000 0.000 0.000
Fe 0.500 0.500 0.000
Fe 0.750 0.250 0.500
Cu 0.250 0.750 0.500

Properties
Mass density: 5684 kg/m³
Uncorrected energy: -5.29 eV per atom

(6)
Crystalline ZnHOs at its relaxed geometry, computed with PBE-GGA.

abc: 5.620 5.620 4.472
angles: 100.44 100.44 29.13
Fractional positions:
Zn 0.000 0.000 0.000
Zn 0.240 0.240 0.825
H 0.286 0.286 0.234
H 0.677 0.677 0.318
Os 0.550 0.550 0.516
Os 0.847 0.847 0.449

Properties
Mass density: 12621 kg/m³
Uncorrected energy: -5.10 eV per atom